w:
Below is crystalline La3P2Se at its relaxed geometry, with properties calculated at the PBE-GGA level.

```
La3P2Se
1.0
7.5025 0.0000 0.0000
-3.7513 6.5272 0.0000
0.0000 0.0000 7.5410
Se La P
2 6 4
Direct
0.4973 0.0000 0.7500
0.5027 0.0000 0.2500
0.1192 0.6187 0.7500
0.4995 0.6187 0.2500
0.8793 0.0000 0.7500
0.5005 0.3813 0.7500
0.8808 0.3813 0.2500
0.1207 0.0000 0.2500
0.1661 0.3323 0.5000
0.8339 0.6677 0.0000
0.8339 0.6677 0.5000
0.1661 0.3323 0.0000
```

Output
Total magnetic moment in μB per formula unit: 0.15
Fermi-level density of states in states/eV/atom: 0.834

***

x:
Below is crystalline La3P2Se at its relaxed geometry, with properties calculated at the PBE-GGA level.

```
La3P2Se
1.0
4.2784 0.0000 0.0000
0.0000 6.0680 0.0000
-2.1392 -3.0340 6.4417
La P Se
3 2 1
Direct
0.1750 0.6750 0.8499
0.8250 0.3250 0.1501
0.5000 0.0000 0.5000
0.8350 0.8350 0.1700
0.1650 0.1650 0.8300
0.5000 0.5000 0.5000
```

Output
Total magnetic moment in μB per formula unit: 0.00
Fermi-level density of states in states/eV/atom: 0.343

***

Stability verdict: x, ahead by 316 meV per atom

***

w:
Below is crystalline LaP3Se at its relaxed geometry, with properties calculated at the PBE-GGA level.

```
LaP3Se
1.0
-1.6508 1.2300 -4.3590
1.0448 -4.4110 -1.6403
-4.4071 -1.5065 1.2439
P Se La
3 1 1
Direct
0.0000 0.0000 0.5000
0.5000 0.0000 0.0000
0.0000 0.5000 0.0000
0.0000 0.0000 0.0000
0.5000 0.5000 0.5000
```

Output
Total magnetic moment in μB per formula unit: 0.00
Fermi-level density of states in states/eV/atom: 0.737

***

x:
Below is crystalline LaP3Se at its relaxed geometry, with properties calculated at the PBE-GGA level.

```
LaP3Se
1.0
5.5235 0.0000 0.0000
0.0000 5.5235 0.0000
0.0000 0.0000 5.5235
P La Se
3 1 1
Direct
0.0000 0.0000 0.5000
0.5000 0.0000 0.0000
0.0000 0.5000 0.0000
0.0000 0.0000 0.0000
0.5000 0.5000 0.5000
```

Output
Total magnetic moment in μB per formula unit: 1.96
Fermi-level density of states in states/eV/atom: 1.340

***

Stability verdict: w, ahead by 1144 meV per atom

***

w:
Below is crystalline La2Si2P at its relaxed geometry, with properties calculated at the PBE-GGA level.

```
La2Si2P
1.0
3.7220 0.0000 0.0000
0.0000 3.7220 0.0000
1.8610 1.8610 8.4527
La Si P
2 2 1
Direct
0.5980 0.5980 0.8040
0.4020 0.4020 0.1960
0.7500 0.2500 0.5000
0.2500 0.7500 0.5000
0.0000 0.0000 0.0000
```

Output
Total magnetic moment in μB per formula unit: 0.00
Fermi-level density of states in states/eV/atom: 0.788

***

x:
Below is crystalline La2Si2P at its relaxed geometry, with properties calculated at the PBE-GGA level.

```
La2Si2P
1.0
0.2045 -5.4985 -0.6613
2.0980 0.1121 5.1282
-4.9689 2.3625 -0.6644
Si La P
2 2 1
Direct
0.3357 0.3357 0.0000
0.6643 0.6643 0.0000
0.2500 0.7500 0.5000
0.7500 0.2500 0.5000
0.0000 0.0000 0.0000
```

Output
Total magnetic moment in μB per formula unit: 0.05
Fermi-level density of states in states/eV/atom: 1.280

***

y:
Below is crystalline La2Si2P at its relaxed geometry, with properties calculated at the PBE-GGA level.

```
La2Si2P
1.0
4.3016 0.0000 0.0000
0.0000 4.3016 0.0000
0.0000 0.0000 14.6059
P Si La
2 4 4
Direct
0.0000 0.5000 0.1576
0.5000 0.0000 0.8424
0.5000 0.0000 0.1548
0.0000 0.5000 0.8452
0.5000 0.5000 0.5000
0.0000 0.0000 0.5000
0.5000 0.0000 0.3564
0.0000 0.0000 0.0000
0.5000 0.5000 0.0000
0.0000 0.5000 0.6436
```

Output
Total magnetic moment in μB per formula unit: 0.00
Fermi-level density of states in states/eV/atom: 0.706

***

Stability verdict: w, ahead by 417 meV per atom

***

w:
Below is crystalline LaSiP at its relaxed geometry, with properties calculated at the PBE-GGA level.

```
LaSiP
1.0
-3.4984 4.0009 1.3161
-2.5396 -3.3687 3.4901
3.2342 1.5589 3.8580
La P Si
2 2 2
Direct
0.5000 0.5000 0.0000
0.0000 0.0000 0.0000
0.0000 0.5000 0.7294
0.5000 0.0000 0.2706
0.5000 0.0000 0.6832
0.0000 0.5000 0.3168
```

Output
Total magnetic moment in μB per formula unit: 0.00
Fermi-level density of states in states/eV/atom: 1.174

***

x:
Below is crystalline LaSiP at its relaxed geometry, with properties calculated at the PBE-GGA level.

```
LaSiP
1.0
5.8183 0.0000 0.0000
0.0000 5.8183 0.0000
0.0000 0.0000 4.5700
Si La P
2 2 2
Direct
0.5000 0.0000 0.4997
0.0000 0.5000 0.5003
0.5000 0.5000 0.0000
0.0000 0.0000 0.0000
0.0000 0.5000 0.0003
0.5000 0.0000 0.9997
```

Output
Total magnetic moment in μB per formula unit: 0.00
Fermi-level density of states in states/eV/atom: 0.596

***

y:
Below is crystalline LaSiP at its relaxed geometry, with properties calculated at the PBE-GGA level.

```
LaSiP
1.0
-0.6499 -2.5312 -3.9042
1.9300 -4.2663 -0.3821
-2.7218 -3.8278 0.1081
P Si La
1 1 1
Direct
0.5000 0.5000 0.5000
0.7500 0.7500 0.7500
0.0000 0.0000 0.0000
```

Output
Total magnetic moment in μB per formula unit: 0.00
Fermi-level density of states in states/eV/atom: 0.888

***

Stability verdict: x, ahead by 99 meV per atom

***

w:
Below is crystalline LaSi2P3 at its relaxed geometry, with properties calculated at the PBE-GGA level.

```
LaSi2P3
1.0
-0.7674 -0.7266 -6.2000
-4.7661 -1.2074 3.9212
-1.9764 6.2265 -0.4851
P Si La
6 4 2
Direct
0.3994 0.0001 0.2500
0.6006 0.9999 0.7500
0.0001 0.6007 0.7500
0.6007 0.6007 0.2500
0.3993 0.3993 0.7500
0.9999 0.3993 0.2500
0.6667 0.3333 0.5002
0.3333 0.6667 0.0002
0.3333 0.6667 0.4998
0.6667 0.3333 0.9998
0.0000 0.0000 0.0000
0.0000 0.0000 0.5000
```

Output
Total magnetic moment in μB per formula unit: 0.00
Fermi-level density of states in states/eV/atom: 0.601

***

x:
Below is crystalline LaSi2P3 at its relaxed geometry, with properties calculated at the PBE-GGA level.

```
LaSi2P3
1.0
-5.8391 -0.9381 -1.9694
4.2079 -4.5784 -0.4307
-0.8391 -1.0524 2.9892
La P Si
1 3 2
Direct
0.0000 0.0000 0.0000
0.0000 0.5000 0.5000
0.5000 0.0000 0.5000
0.5000 0.5000 0.5000
0.6667 0.3333 0.0000
0.3333 0.6667 0.0000
```

Output
Total magnetic moment in μB per formula unit: 0.00
Fermi-level density of states in states/eV/atom: 0.555

***

Stability verdict: w, ahead by 143 meV per atom

***

w:
Below is crystalline La2SmP at its relaxed geometry, with properties calculated at the PBE-GGA level.

```
La2SmP
1.0
3.9191 0.0000 0.0000
1.9596 3.3941 0.0000
1.9596 1.1314 10.4253
La Sm P
2 1 1
Direct
0.1115 0.1115 0.6655
0.8885 0.8885 0.3345
0.0000 0.0000 0.0000
0.5000 0.5000 0.5000
```

Output
Total magnetic moment in μB per formula unit: 0.00
Fermi-level density of states in states/eV/atom: 1.197

***

x:
Below is crystalline La2SmP at its relaxed geometry, with properties calculated at the PBE-GGA level.

```
La2SmP
1.0
3.9971 0.0000 0.0000
1.9986 3.4616 0.0000
1.9986 1.1539 9.6873
La Sm P
2 1 1
Direct
0.2727 0.2727 0.1820
0.0606 0.0606 0.8181
0.5000 0.5000 0.5000
0.6667 0.6667 0.9999
```

Output
Total magnetic moment in μB per formula unit: 0.56
Fermi-level density of states in states/eV/atom: 1.325

***

Stability verdict: x, ahead by 133 meV per atom

***

w:
Below is crystalline LaSn3P at its relaxed geometry, with properties calculated at the PBE-GGA level.

```
LaSn3P
1.0
-3.7870 0.4221 3.6252
3.0166 -2.5788 3.4514
2.0544 4.5644 1.6147
La Sn P
1 3 1
Direct
0.5000 0.5000 0.5000
0.0000 0.5000 0.0000
0.5000 0.0000 0.0000
0.0000 0.0000 0.5000
0.0000 0.0000 0.0000
```

Output
Total magnetic moment in μB per formula unit: 0.00
Fermi-level density of states in states/eV/atom: 0.873

***

x:
Below is crystalline LaSn3P at its relaxed geometry, with properties calculated at the PBE-GGA level.

```
LaSn3P
1.0
5.9922 0.0000 0.0000
0.0000 5.9922 0.0000
0.0000 0.0000 5.9922
Sn La P
3 1 1
Direct
0.5000 0.0000 0.0000
0.0000 0.0000 0.5000
0.0000 0.5000 0.0000
0.0000 0.0000 0.0000
0.5000 0.5000 0.5000
```

Output
Total magnetic moment in μB per formula unit: 0.00
Fermi-level density of states in states/eV/atom: 1.720

***

Stability verdict: w, ahead by 1183 meV per atom

***

w:
Below is crystalline La2SnP2 at its relaxed geometry, with properties calculated at the PBE-GGA level.

```
La2SnP2
1.0
-3.4940 -1.5184 0.1017
0.6348 -1.6859 -3.3583
1.8034 -8.7599 2.5760
P La Sn
2 2 1
Direct
0.7500 0.2500 0.5000
0.2500 0.7500 0.5000
0.6203 0.6203 0.7594
0.3797 0.3797 0.2406
0.0000 0.0000 0.0000
```

Output
Total magnetic moment in μB per formula unit: 0.00
Fermi-level density of states in states/eV/atom: 0.426

***

x:
Below is crystalline La2SnP2 at its relaxed geometry, with properties calculated at the PBE-GGA level.

```
La2SnP2
1.0
7.9280 0.0000 0.0000
0.0000 7.9280 0.0000
0.0000 0.0000 4.0101
P Sn La
4 2 4
Direct
0.8455 0.6545 0.0000
0.6545 0.1545 0.0000
0.1545 0.3455 0.0000
0.3455 0.8455 0.0000
0.0000 0.0000 0.0000
0.5000 0.5000 0.0000
0.8460 0.3460 0.5000
0.3460 0.1540 0.5000
0.6540 0.8460 0.5000
0.1540 0.6540 0.5000
```

Output
Total magnetic moment in μB per formula unit: 0.00
Fermi-level density of states in states/eV/atom: 0.427

***

Stability verdict: x, ahead by 273 meV per atom

***

w:
Below is crystalline La4Sn2P at its relaxed geometry, with properties calculated at the PBE-GGA level.

```
La4Sn2P
1.0
-3.7528 -1.5024 2.3360
0.0317 -6.4796 0.5491
2.4816 -1.4476 7.7214
Sn La P
2 4 1
Direct
0.6333 0.3925 0.3409
0.3667 0.6075 0.6591
0.9175 0.8046 0.3604
0.3300 0.2708 0.0692
0.0825 0.1954 0.6396
0.6700 0.7292 0.9308
0.0000 0.0000 0.0000
```

Output
Total magnetic moment in μB per formula unit: 0.00
Fermi-level density of states in states/eV/atom: 1.082

***

x:
Below is crystalline La4Sn2P at its relaxed geometry, with properties calculated at the PBE-GGA level.

```
La4Sn2P
1.0
-0.0053 0.8921 -5.3756
-4.9400 -2.2696 -0.3718
-6.0304 6.8494 -1.6192
P La Sn
1 4 2
Direct
0.0000 0.0000 0.0000
0.8273 0.8273 0.3454
0.5000 0.0000 0.0000
0.1727 0.1727 0.6546
0.0000 0.5000 0.0000
0.3668 0.3668 0.2664
0.6332 0.6332 0.7336
```

Output
Total magnetic moment in μB per formula unit: 0.00
Fermi-level density of states in states/eV/atom: 0.770

***

Stability verdict: w, ahead by 166 meV per atom

***

w:
Below is crystalline SrLa2P at its relaxed geometry, with properties calculated at the PBE-GGA level.

```
SrLa2P
1.0
3.8518 0.0000 0.0000
0.0000 3.8518 0.0000
0.0000 0.0000 9.1268
La P Sr
2 1 1
Direct
0.0000 0.0000 0.0352
0.5000 0.5000 0.3230
0.0000 0.0000 0.4615
0.5000 0.5000 0.6803
```

Output
Total magnetic moment in μB per formula unit: 0.79
Fermi-level density of states in states/eV/atom: 1.081

***

x:
Below is crystalline SrLa2P at its relaxed geometry, with properties calculated at the PBE-GGA level.

```
SrLa2P
1.0
3.7415 0.0000 0.0000
0.0000 3.7415 0.0000
0.0000 0.0000 10.0774
La Sr P
2 1 1
Direct
0.0000 0.0000 0.8419
0.0000 0.0000 0.1581
0.5000 0.5000 0.5000
0.5000 0.5000 0.0000
```

Output
Total magnetic moment in μB per formula unit: 0.00
Fermi-level density of states in states/eV/atom: 1.370

***

Stability verdict: x, ahead by 46 meV per atom

***

w:
Below is crystalline SrLa3P at its relaxed geometry, with properties calculated at the PBE-GGA level.

```
SrLa3P
1.0
-2.3457 4.5775 2.3926
-4.6687 -3.0031 1.1684
2.2095 -1.4860 5.0091
P La Sr
1 3 1
Direct
0.5000 0.5000 0.5000
0.0000 0.5000 0.0000
0.0000 0.0000 0.5000
0.5000 0.0000 0.0000
0.0000 0.0000 0.0000
```

Output
Total magnetic moment in μB per formula unit: 0.00
Fermi-level density of states in states/eV/atom: 0.908

***

x:
Below is crystalline SrLa3P at its relaxed geometry, with properties calculated at the PBE-GGA level.

```
SrLa3P
1.0
5.8050 0.0000 0.0000
0.0000 5.8050 0.0000
0.0000 0.0000 5.8050
La Sr P
3 1 1
Direct
0.0000 0.5000 0.0000
0.0000 0.0000 0.5000
0.5000 0.0000 0.0000
0.5000 0.5000 0.5000
0.0000 0.0000 0.0000
```

Output
Total magnetic moment in μB per formula unit: 0.00
Fermi-level density of states in states/eV/atom: 1.741

***

Stability verdict: x, ahead by 1509 meV per atom

***

w:
Below is crystalline LaTaP2 at its relaxed geometry, with properties calculated at the PBE-GGA level.

```
LaTaP2
1.0
8.9209 -0.0413 -0.0243
8.3544 3.1285 -0.0243
8.3544 1.4930 2.7494
P La Ta
2 1 1
Direct
0.9805 0.9805 0.9805
0.2564 0.2564 0.2564
0.7435 0.7435 0.7435
0.5196 0.5196 0.5196
```

Output
Total magnetic moment in μB per formula unit: 0.00
Fermi-level density of states in states/eV/atom: 1.088

***

x:
Below is crystalline LaTaP2 at its relaxed geometry, with properties calculated at the PBE-GGA level.

```
LaTaP2
1.0
5.2039 0.0029 -0.0255
0.6231 5.1665 0.0255
-1.9971 -3.6176 3.1632
P La Ta
2 1 1
Direct
0.4610 0.4610 0.0000
0.0390 0.0390 0.0000
0.7500 0.2500 0.5000
0.2500 0.7500 0.5000
```

Output
Total magnetic moment in μB per formula unit: 0.00
Fermi-level density of states in states/eV/atom: 0.662

***

Stability verdict: x, ahead by 755 meV per atom